# 1
A plane-wave DFT calculation with PBE-GGA was carried out for an optimized crystal structure of SiBiN2F.

Cell lengths 4.347, 4.347, 4.343 Å; angles 90.00, 90.00, 90.00 degrees
Atoms (fractional coordinates):
Si  0.500  0.500  0.500
Bi  0.000  0.000  0.000
N  0.500  0.000  0.000
N  0.000  0.500  0.000
F  0.000  0.000  0.500

Crystal system: tetragonal
Raw formation energy: 0.97 eV/atom



# 2
A plane-wave DFT calculation with PBE-GGA was carried out for an optimized crystal structure of KSiH4.

Cell lengths 3.122, 5.044, 5.043 Å; angles 72.72, 71.98, 71.98 degrees
Atoms (fractional coordinates):
K  0.002  0.503  0.499
H  0.354  0.334  0.963
H  0.650  0.039  0.667
H  0.650  0.671  0.035
H  0.354  0.967  0.330
Si  0.502  0.003  0.999

Crystal system: orthorhombic
VASP energy: -3.228 eV/atom



# 3
A plane-wave DFT calculation with PBE-GGA was carried out for an optimized crystal structure of YAg3Sn3.

Cell lengths 7.532, 7.532, 7.532 Å; angles 90.00, 90.00, 90.00 degrees
Atoms (fractional coordinates):
Ag  0.250  0.500  0.000
Ag  0.000  0.750  0.500
Ag  0.000  0.250  0.500
Ag  0.500  0.000  0.750
Ag  0.500  0.000  0.250
Ag  0.750  0.500  0.000
Y  0.500  0.500  0.500
Y  0.000  0.000  0.000
Sn  0.500  0.250  0.000
Sn  0.000  0.500  0.250
Sn  0.750  0.000  0.500
Sn  0.000  0.500  0.750
Sn  0.250  0.000  0.500
Sn  0.500  0.750  0.000

Crystal system: cubic
Formation enthalpy at 0 K: 0.389 eV/atom



# 4
A plane-wave DFT calculation with PBE-GGA was carried out for an optimized crystal structure of Nd5NiS4.

Cell lengths 4.009, 7.147, 9.151 Å; angles 75.29, 77.35, 73.71 degrees
Atoms (fractional coordinates):
Nd  0.199  0.901  0.701
Nd  0.000  0.500  0.500
Nd  0.403  0.289  0.904
Nd  0.801  0.099  0.299
Nd  0.597  0.711  0.096
S  0.199  0.402  0.201
S  0.601  0.201  0.597
S  0.399  0.799  0.403
S  0.801  0.598  0.799
Ni  0.000  0.000  0.000

Crystal system: monoclinic
Raw formation energy: -1.66 eV/atom



# 5
A plane-wave DFT calculation with PBE-GGA was carried out for an optimized crystal structure of La2MgHg4.

Cell lengths 5.202, 5.202, 9.174 Å; angles 73.53, 73.53, 60.00 degrees
Atoms (fractional coordinates):
Hg  0.625  0.625  0.124
Hg  0.127  0.127  0.620
Hg  0.873  0.873  0.380
Hg  0.375  0.375  0.876
La  0.251  0.251  0.248
La  0.749  0.749  0.752
Mg  0.000  0.000  0.000

Crystal system: trigonal
Formation enthalpy at 0 K: -0.383 eV/atom



# 6
A plane-wave DFT calculation with PBE-GGA was carried out for an optimized crystal structure of CaFeCo2.

Cell lengths 4.307, 4.307, 3.109 Å; angles 90.00, 90.00, 89.99 degrees
Atoms (fractional coordinates):
Co  0.000  0.000  0.000
Co  0.500  0.500  0.000
Ca  0.000  0.500  0.500
Fe  0.500  0.000  0.500

Crystal system: tetragonal
Formation enthalpy at 0 K: 0.447 eV/atom



# 7
A plane-wave DFT calculation with PBE-GGA was carried out for an optimized crystal structure of Dy4Tm7Zr.

Cell lengths 5.862, 6.730, 11.718 Å; angles 73.36, 56.89, 89.98 degrees
Atoms (fractional coordinates):
Tm  0.856  0.286  0.426
Tm  0.500  0.000  0.000
Tm  0.167  0.463  0.074
Tm  0.865  0.812  0.374
Tm  0.135  0.188  0.626
Tm  0.833  0.537  0.926
Tm  0.144  0.714  0.574
Dy  0.505  0.132  0.270
Dy  0.495  0.868  0.730
Dy  0.496  0.402  0.730
Dy  0.504  0.598  0.270
Zr  0.000  0.000  0.000

Crystal system: triclinic
Formation enthalpy at 0 K: 0.172 eV/atom



# 8
A plane-wave DFT calculation with PBE-GGA was carried out for an optimized crystal structure of Na3La.

Cell lengths 3.401, 6.255, 6.849 Å; angles 90.00, 90.00, 90.00 degrees
Atoms (fractional coordinates):
Na  0.000  0.500  0.319
Na  0.500  0.000  0.518
Na  0.500  0.500  0.813
La  0.000  0.000  0.017

Crystal system: orthorhombic
Formation enthalpy at 0 K: 0.197 eV/atom



# 9
A plane-wave DFT calculation with PBE-GGA was carried out for an optimized crystal structure of Na4Ga5Au6.

Cell lengths 4.533, 10.011, 14.021 Å; angles 90.00, 90.00, 103.08 degrees
Atoms (fractional coordinates):
Na  0.804  0.607  0.483
Na  0.196  0.393  0.983
Na  0.071  0.141  0.785
Na  0.929  0.859  0.285
Na  0.124  0.249  0.282
Na  0.876  0.751  0.782
Na  0.950  0.900  0.001
Na  0.050  0.100  0.501
Au  0.737  0.474  0.287
Au  0.215  0.429  0.441
Au  0.470  0.941  0.846
Au  0.924  0.848  0.600
Au  0.530  0.059  0.346
Au  0.263  0.526  0.787
Au  0.375  0.749  0.133
Au  0.076  0.152  0.100
Au  0.625  0.251  0.633
Au  0.785  0.571  0.941
Au  0.596  0.191  0.946
Au  0.404  0.809  0.446
Ga  0.355  0.709  0.941
Ga  0.199  0.398  0.625
Ga  0.687  0.374  0.804
Ga  0.490  0.980  0.658
Ga  0.313  0.626  0.304
Ga  0.347  0.694  0.622
Ga  0.801  0.602  0.125
Ga  0.510  0.020  0.158
Ga  0.645  0.291  0.441
Ga  0.653  0.306  0.122

Crystal system: orthorhombic
Formation enthalpy at 0 K: -0.292 eV/atom



# 10
A plane-wave DFT calculation with PBE-GGA was carried out for an optimized crystal structure of CdP.

Cell lengths 4.233, 7.252, 10.761 Å; angles 90.00, 90.00, 90.00 degrees
Atoms (fractional coordinates):
P  0.500  0.053  0.219
P  0.000  0.414  0.000
P  0.000  0.947  0.281
P  0.500  0.586  0.500
P  0.500  0.053  0.781
P  0.000  0.947  0.719
Cd  0.000  0.655  0.839
Cd  0.000  0.793  0.500
Cd  0.500  0.207  0.000
Cd  0.500  0.345  0.339
Cd  0.500  0.345  0.661
Cd  0.000  0.655  0.161

Crystal system: orthorhombic
Formation enthalpy at 0 K: 0.127 eV/atom



# 11
A plane-wave DFT calculation with PBE-GGA was carried out for an optimized crystal structure of Pr6BiP3S2.

Cell lengths 4.240, 8.548, 9.526 Å; angles 103.45, 102.86, 90.00 degrees
Atoms (fractional coordinates):
Pr  0.000  0.271  0.000
Pr  0.000  0.729  0.000
Pr  0.325  0.917  0.650
Pr  0.665  0.588  0.331
Pr  0.335  0.412  0.669
Pr  0.675  0.083  0.350
P  0.165  0.831  0.331
P  0.835  0.169  0.669
P  0.500  0.500  0.000
S  0.830  0.663  0.661
S  0.170  0.337  0.339
Bi  0.500  0.000  0.000

Crystal system: monoclinic
Raw formation energy: -1.59 eV/atom



# 12
A plane-wave DFT calculation with PBE-GGA was carried out for an optimized crystal structure of LaGaPt2.

Cell lengths 4.962, 4.962, 8.808 Å; angles 73.64, 73.64, 90.00 degrees
Atoms (fractional coordinates):
Pt  0.875  0.742  0.750
Pt  0.258  0.625  0.250
Pt  0.492  0.125  0.250
Pt  0.375  0.508  0.750
Ga  0.250  0.750  0.500
Ga  0.500  0.500  0.000
La  0.000  0.000  0.000
La  0.750  0.250  0.500

Crystal system: tetragonal
Formation enthalpy at 0 K: -0.681 eV/atom



no.,size of the total moment (μB per atom)
1,0.00
2,0.01
3,0.00
4,0.00
5,0.00
6,1.24
7,0.00
8,0.00
9,0.00
10,0.00
11,0.00
12,0.00